[1]
Computed, not measured: an optimized crystal structure of ErSc2Os at the GGA-PBE level of DFT.

As for the space group: P4/mmm (123). Its energy of formation from the pure elements is -0.238 eV per atom. For the energy above the most stable polymorph in this dataset, the calculation gives 1.30 kcal/mol of atoms. The total magnetic moment comes out at 0.0 μB per cell.

Lattice parameters (Å, degrees): 3.250 3.250 8.469 90.00 90.00 90.00
Sites, in units of the cell vectors:
Sc 0.000 0.000 0.818
Sc 0.000 0.000 0.182
Os 0.500 0.500 0.000
Er 0.500 0.500 0.500

---

[2]
Computed, not measured: an optimized crystal structure of ErScOs2 at the GGA-PBE level of DFT.

As for the space group: P4/mmm (123). Its energy of formation from the pure elements is -0.195 eV per atom. The total magnetic moment comes out at 0.0 μB per cell.

Lattice parameters (Å, degrees): 3.301 3.301 6.603 90.00 90.00 90.00
Sites, in units of the cell vectors:
Sc 0.500 0.500 0.000
Os 0.000 0.000 0.765
Os 0.000 0.000 0.235
Er 0.500 0.500 0.500

---

[3]
Computed, not measured: an optimized crystal structure of Er2ScOs at the GGA-PBE level of DFT.

As for the space group: P4/mmm (123). Its energy of formation from the pure elements is -0.113 eV per atom. For the energy above the most stable polymorph in this dataset, the calculation gives 4.50 kcal/mol of atoms. The total magnetic moment comes out at 0.9 μB per cell.

Lattice parameters (Å, degrees): 3.384 3.384 8.485 90.00 90.00 90.00
Each line ends with the local moment (μB).
Sites, in units of the cell vectors:
Sc 0.500 0.500 0.500  -0.42
Os 0.500 0.500 0.000  -0.03
Er 0.000 0.000 0.807  -0.07
Er 0.000 0.000 0.193  -0.07